The following is a DFT calculation (GGA+U) of a geometry-optimized Zr2VInO structure.

```
data_Zr2VInO
_symmetry_space_group_name_H-M 'P 4/m m m'
_symmetry_Int_Tables_number 123
_symmetry_space_group_name_Hall '-P 4 2'
_cell_length_a 5.548
_cell_length_b 5.548
_cell_length_c 3.956
_cell_angle_alpha 90.00
_cell_angle_beta 90.00
_cell_angle_gamma 90.00
loop_
_atom_site_label
_atom_site_fract_x
_atom_site_fract_y
_atom_site_fract_z
Zr1 0.000 0.500 0.000
V1 0.000 0.000 0.500
In1 0.500 0.500 0.000
O1 0.500 0.500 0.500
```

Properties
- VASP energy: -5.200 eV/atom